No. 1
# RbPr2N, optimized geometry, DFT PBE
# Space group   No. 166
# Volume   33.21 Å³/atom
# Total moment   0.76 μB/cell
# Raw formation energy   -40.6 kJ per mole of atoms
# Total energy   -0.18866 Ha/atom
data_RbPr2N
_chemical_formula_sum 'Rb1 Pr2 N1'
_cell_length_a 11.151
_cell_length_b 11.151
_cell_length_c 11.151
_cell_angle_alpha 19.33
_cell_angle_beta 19.33
_cell_angle_gamma 19.33
_symmetry_space_group_name_H-M 'P 1'
_symmetry_Int_Tables_number 1
loop_
_symmetry_equiv_pos_as_xyz
'x,y,z'
loop_
_atom_site_label
_atom_site_fract_x
_atom_site_fract_y
_atom_site_fract_z
Rb1 0.000 0.000 0.000
Pr1 0.125 0.125 0.125
Pr2 0.875 0.875 0.875
N1 0.500 0.500 0.500



No. 2
# RbPr2Re2N6, optimized geometry, DFT PBE
# Space group   No. 2
# Volume   21.59 Å³/atom
# Total moment   0.00 μB/cell
# Raw formation energy   -52.6 kJ per mole of atoms
# Total energy   -0.30524 Ha/atom
data_RbPr2Re2N6
_chemical_formula_sum 'Rb1 Pr2 Re2 N6'
_cell_length_a 6.373
_cell_length_b 6.933
_cell_length_c 7.019
_cell_angle_alpha 97.28
_cell_angle_beta 113.70
_cell_angle_gamma 115.94
_symmetry_space_group_name_H-M 'P 1'
_symmetry_Int_Tables_number 1
loop_
_symmetry_equiv_pos_as_xyz
'x,y,z'
loop_
_atom_site_label
_atom_site_fract_x
_atom_site_fract_y
_atom_site_fract_z
Rb1 0.000 0.000 0.000
Pr1 0.353 0.673 0.280
Pr2 0.647 0.327 0.720
Re1 0.229 0.654 0.685
Re2 0.771 0.346 0.315
N1 0.141 0.652 0.906
N2 0.331 0.910 0.619
N3 0.451 0.555 0.706
N4 0.549 0.445 0.294
N5 0.669 0.090 0.381
N6 0.859 0.348 0.094



No. 3
# Rb2PrRe2N6, optimized geometry, DFT PBE
# Space group   No. 12
# Volume   21.51 Å³/atom
# Total moment   1.02 μB/cell
# Raw formation energy   -29.1 kJ per mole of atoms
# Total energy   -0.28357 Ha/atom
data_Rb2PrRe2N6
_chemical_formula_sum 'Rb2 Pr1 Re2 N6'
_cell_length_a 6.508
_cell_length_b 6.508
_cell_length_c 7.633
_cell_angle_alpha 117.33
_cell_angle_beta 117.33
_cell_angle_gamma 59.61
_symmetry_space_group_name_H-M 'P 1'
_symmetry_Int_Tables_number 1
loop_
_symmetry_equiv_pos_as_xyz
'x,y,z'
loop_
_atom_site_label
_atom_site_fract_x
_atom_site_fract_y
_atom_site_fract_z
Rb1 0.215 0.215 0.183
Rb2 0.785 0.785 0.817
Pr1 0.000 0.000 0.500
Re1 0.446 0.446 0.793
Re2 0.554 0.554 0.207
N1 0.258 0.721 0.256
N2 0.261 0.261 0.683
N3 0.279 0.742 0.744
N4 0.721 0.258 0.256
N5 0.739 0.739 0.317
N6 0.742 0.279 0.744



No. 4
# RbPrReN4, optimized geometry, DFT PBE
# Space group   No. 11
# Volume   21.42 Å³/atom
# Total moment   2.04 μB/cell
# Raw formation energy   -37.9 kJ per mole of atoms
# Total energy   -0.28480 Ha/atom
data_RbPrReN4
_chemical_formula_sum 'Rb2 Pr2 Re2 N8'
_cell_length_a 6.320
_cell_length_b 6.066
_cell_length_c 8.040
_cell_angle_alpha 90.00
_cell_angle_beta 103.42
_cell_angle_gamma 90.00
_symmetry_space_group_name_H-M 'P 1'
_symmetry_Int_Tables_number 1
loop_
_symmetry_equiv_pos_as_xyz
'x,y,z'
loop_
_atom_site_label
_atom_site_fract_x
_atom_site_fract_y
_atom_site_fract_z
Rb1 0.200 0.250 0.418
Rb2 0.800 0.750 0.582
Pr1 0.281 0.250 0.938
Pr2 0.719 0.750 0.062
Re1 0.244 0.750 0.152
Re2 0.756 0.250 0.848
N1 0.062 0.750 0.300
N2 0.062 0.750 0.941
N3 0.430 0.513 0.169
N4 0.430 0.987 0.169
N5 0.570 0.013 0.831
N6 0.570 0.487 0.831
N7 0.938 0.250 0.059
N8 0.938 0.250 0.700



No. 5
# Rb2PrTc2N6, optimized geometry, DFT PBE
# Space group   No. 12
# Volume   21.22 Å³/atom
# Total moment   1.02 μB/cell
# Raw formation energy   -17.3 kJ per mole of atoms
# Total energy   -0.26516 Ha/atom
data_Rb2PrTc2N6
_chemical_formula_sum 'Rb2 Pr1 Tc2 N6'
_cell_length_a 6.479
_cell_length_b 6.479
_cell_length_c 7.599
_cell_angle_alpha 117.31
_cell_angle_beta 117.31
_cell_angle_gamma 59.54
_symmetry_space_group_name_H-M 'P 1'
_symmetry_Int_Tables_number 1
loop_
_symmetry_equiv_pos_as_xyz
'x,y,z'
loop_
_atom_site_label
_atom_site_fract_x
_atom_site_fract_y
_atom_site_fract_z
Rb1 0.215 0.215 0.183
Rb2 0.785 0.785 0.817
Pr1 0.000 0.000 0.500
Tc1 0.445 0.445 0.792
Tc2 0.555 0.555 0.208
N1 0.258 0.721 0.255
N2 0.262 0.262 0.685
N3 0.279 0.742 0.745
N4 0.721 0.258 0.255
N5 0.738 0.738 0.315
N6 0.742 0.279 0.745



No. 6
# RbPrTcN3, optimized geometry, DFT PBE
# Space group   No. 12
# Volume   18.20 Å³/atom
# Total moment   0.00 μB/cell
# Raw formation energy   -35.2 kJ per mole of atoms
# Total energy   -0.26507 Ha/atom
data_RbPrTcN3
_chemical_formula_sum 'Rb2 Pr2 Tc2 N6'
_cell_length_a 7.229
_cell_length_b 7.229
_cell_length_c 8.211
_cell_angle_alpha 104.46
_cell_angle_beta 104.46
_cell_angle_gamma 31.80
_symmetry_space_group_name_H-M 'P 1'
_symmetry_Int_Tables_number 1
loop_
_symmetry_equiv_pos_as_xyz
'x,y,z'
loop_
_atom_site_label
_atom_site_fract_x
_atom_site_fract_y
_atom_site_fract_z
Rb1 0.138 0.138 0.070
Rb2 0.862 0.862 0.930
Pr1 0.161 0.161 0.582
Pr2 0.839 0.839 0.418
Tc1 0.495 0.495 0.662
Tc2 0.505 0.505 0.338
N1 0.011 0.011 0.337
N2 0.345 0.345 0.623
N3 0.372 0.372 0.218
N4 0.628 0.628 0.782
N5 0.655 0.655 0.377
N6 0.989 0.989 0.663



No. 7
# RbPrWN3, optimized geometry, DFT PBE
# Space group   No. 12
# Volume   18.81 Å³/atom
# Total moment   0.00 μB/cell
# Raw formation energy   -51.2 kJ per mole of atoms
# Total energy   -0.28703 Ha/atom
data_RbPrWN3
_chemical_formula_sum 'Rb2 Pr2 W2 N6'
_cell_length_a 7.292
_cell_length_b 7.292
_cell_length_c 8.406
_cell_angle_alpha 104.39
_cell_angle_beta 104.39
_cell_angle_gamma 31.52
_symmetry_space_group_name_H-M 'P 1'
_symmetry_Int_Tables_number 1
loop_
_symmetry_equiv_pos_as_xyz
'x,y,z'
loop_
_atom_site_label
_atom_site_fract_x
_atom_site_fract_y
_atom_site_fract_z
Rb1 0.141 0.141 0.066
Rb2 0.859 0.859 0.934
Pr1 0.164 0.164 0.594
Pr2 0.836 0.836 0.406
W1 0.491 0.491 0.667
W2 0.509 0.509 0.333
N1 0.013 0.013 0.351
N2 0.345 0.345 0.638
N3 0.372 0.372 0.221
N4 0.628 0.628 0.779
N5 0.655 0.655 0.362
N6 0.987 0.987 0.649



No. 8
# RbPr2W2N6, optimized geometry, DFT PBE
# Space group   No. 2
# Volume   21.52 Å³/atom
# Total moment   1.02 μB/cell
# Raw formation energy   -53.3 kJ per mole of atoms
# Total energy   -0.30889 Ha/atom
data_RbPr2W2N6
_chemical_formula_sum 'Rb1 Pr2 W2 N6'
_cell_length_a 6.587
_cell_length_b 6.759
_cell_length_c 6.979
_cell_angle_alpha 93.13
_cell_angle_beta 116.57
_cell_angle_gamma 116.20
_symmetry_space_group_name_H-M 'P 1'
_symmetry_Int_Tables_number 1
loop_
_symmetry_equiv_pos_as_xyz
'x,y,z'
loop_
_atom_site_label
_atom_site_fract_x
_atom_site_fract_y
_atom_site_fract_z
Rb1 0.000 0.000 0.000
Pr1 0.370 0.677 0.290
Pr2 0.630 0.323 0.710
W1 0.231 0.671 0.686
W2 0.769 0.329 0.314
N1 0.139 0.662 0.904
N2 0.290 0.909 0.562
N3 0.451 0.570 0.691
N4 0.549 0.430 0.309
N5 0.710 0.091 0.438
N6 0.861 0.338 0.096